(one)
The following is a PBE calculation of a relaxed structure of Ta2TeCl, from Alexandria via LeMat-Bulk.

Cell and atoms, written as CIF:
```
data_Ta2TeCl
_cell_length_a 3.012
_cell_length_b 4.639
_cell_length_c 5.812
_cell_angle_alpha 90.00
_cell_angle_beta 90.00
_cell_angle_gamma 90.00
_symmetry_space_group_name_H-M 'P 1'
_symmetry_Int_Tables_number 1
_symmetry_space_group_name_Hall 'P 1'
loop_
_atom_site_label
_atom_site_fract_x
_atom_site_fract_y
_atom_site_fract_z
_atom_site_occupancy
Ta1 0.000 0.000 0.000 1
Ta2 0.500 0.000 0.500 1
Te1 0.000 0.500 0.500 1
Cl1 0.500 0.500 0.000 1
```

(two)
The following is a PBE calculation of a relaxed structure of Ta2TeCl, from Alexandria via LeMat-Bulk.

Cell and atoms, written as CIF:
```
data_Ta2TeCl
_cell_length_a 3.235
_cell_length_b 3.235
_cell_length_c 9.173
_cell_angle_alpha 90.00
_cell_angle_beta 90.00
_cell_angle_gamma 123.26
_symmetry_space_group_name_H-M 'P 1'
_symmetry_Int_Tables_number 1
_symmetry_space_group_name_Hall 'P 1'
loop_
_atom_site_label
_atom_site_fract_x
_atom_site_fract_y
_atom_site_fract_z
_atom_site_occupancy
Ta1 0.000 0.000 0.244 1
Ta2 0.000 0.000 0.756 1
Te1 0.500 0.500 0.500 1
Cl1 0.500 0.500 0.000 1
```

Relative energy table, unit meV per atom: (one) 5; (two) 0

(one)
The following is a PBE calculation of a relaxed structure of Ta2TeCl, from Alexandria via LeMat-Bulk.

Cell and atoms, written as CIF:
```
data_Ta2TeCl
_cell_length_a 2.995
_cell_length_b 4.386
_cell_length_c 6.304
_cell_angle_alpha 90.00
_cell_angle_beta 93.81
_cell_angle_gamma 90.00
_symmetry_space_group_name_H-M 'P 1'
_symmetry_Int_Tables_number 1
_symmetry_space_group_name_Hall 'P 1'
loop_
_atom_site_label
_atom_site_fract_x
_atom_site_fract_y
_atom_site_fract_z
_atom_site_occupancy
Ta1 0.000 0.000 0.000 1
Ta2 0.329 0.500 0.769 1
Te1 0.343 0.500 0.262 1
Cl1 0.935 0.000 0.613 1
```

(two)
The following is a PBE calculation of a relaxed structure of Ta2TeCl, from Alexandria via LeMat-Bulk.

Cell and atoms, written as CIF:
```
data_Ta2TeCl
_cell_length_a 5.572
_cell_length_b 5.572
_cell_length_c 2.977
_cell_angle_alpha 100.99
_cell_angle_beta 100.99
_cell_angle_gamma 111.32
_symmetry_space_group_name_H-M 'P 1'
_symmetry_Int_Tables_number 1
_symmetry_space_group_name_Hall 'P 1'
loop_
_atom_site_label
_atom_site_fract_x
_atom_site_fract_y
_atom_site_fract_z
_atom_site_occupancy
Ta1 0.000 0.500 0.000 1
Ta2 0.500 0.000 0.000 1
Te1 0.000 0.000 0.000 1
Cl1 0.500 0.500 0.000 1
```

(three)
The following is a PBE calculation of a relaxed structure of Ta2TeCl, from Alexandria via LeMat-Bulk.

Cell and atoms, written as CIF:
```
data_Ta2TeCl
_cell_length_a 9.021
_cell_length_b 9.021
_cell_length_c 9.021
_cell_angle_alpha 150.57
_cell_angle_beta 150.57
_cell_angle_gamma 42.10
_symmetry_space_group_name_H-M 'P 1'
_symmetry_Int_Tables_number 1
_symmetry_space_group_name_Hall 'P 1'
loop_
_atom_site_label
_atom_site_fract_x
_atom_site_fract_y
_atom_site_fract_z
_atom_site_occupancy
Ta1 0.065 0.625 0.940 1
Ta2 0.375 0.315 0.440 1
Ta3 0.685 0.125 0.060 1
Ta4 0.875 0.935 0.560 1
Te1 0.250 0.750 0.500 1
Te2 0.500 0.500 0.000 1
Cl1 0.000 0.000 0.000 1
Cl2 0.750 0.250 0.500 1
```

Relative energy table, unit meV per atom: (one) 0; (two) 360; (three) 282

(one)
The following is a PBE calculation of a relaxed structure of Ta2TeCl, from Alexandria via LeMat-Bulk.

Cell and atoms, written as CIF:
```
data_Ta2TeCl
_cell_length_a 4.817
_cell_length_b 4.817
_cell_length_c 5.368
_cell_angle_alpha 103.22
_cell_angle_beta 103.22
_cell_angle_gamma 41.16
_symmetry_space_group_name_H-M 'P 1'
_symmetry_Int_Tables_number 1
_symmetry_space_group_name_Hall 'P 1'
loop_
_atom_site_label
_atom_site_fract_x
_atom_site_fract_y
_atom_site_fract_z
_atom_site_occupancy
Ta1 0.000 0.000 0.000 1
Ta2 0.733 0.733 0.290 1
Te1 0.241 0.241 0.741 1
Cl1 0.464 0.464 0.337 1
```

(two)
The following is a PBE calculation of a relaxed structure of Ta2TeCl, from Alexandria via LeMat-Bulk.

Cell and atoms, written as CIF:
```
data_Ta2TeCl
_cell_length_a 3.306
_cell_length_b 3.306
_cell_length_c 8.631
_cell_angle_alpha 90.00
_cell_angle_beta 90.00
_cell_angle_gamma 90.00
_symmetry_space_group_name_H-M 'P 1'
_symmetry_Int_Tables_number 1
_symmetry_space_group_name_Hall 'P 1'
loop_
_atom_site_label
_atom_site_fract_x
_atom_site_fract_y
_atom_site_fract_z
_atom_site_occupancy
Ta1 0.000 0.000 0.000 1
Ta2 0.500 0.500 0.186 1
Te1 0.000 0.000 0.386 1
Cl1 0.500 0.500 0.784 1
```

Relative energy table, unit meV per atom: (one) 253; (two) 0